13
Lattice="5.481 -2.906 0.000 5.481 2.906 0.000 -1.651 0.000 4.636" Properties=species:S:1:pos:R:3 comment="Ca2Mn3O8 (SCAN, single point on PBEsol structure)" sg="C2/m (12)" raw_formation_energy_ev_per_atom=-2.613 vol_a3_per_atom=11.36 pbc="T T T"
Ca 2.193 0.000 0.771
Ca 7.118 0.000 3.865
Mn 4.656 1.505 2.318
Mn 5.481 0.000 0.000
Mn 4.656 -1.505 2.318
O 0.372 0.000 2.121
O 4.199 1.294 0.502
O 5.112 1.294 4.134
O 3.435 0.000 2.770
O 5.876 0.000 1.866
O 4.199 -1.294 0.502
O 5.112 -1.294 4.134
O 8.940 0.000 2.516